YEr3Ni | PBE | optimized geometry

Output
total DFT energy (no corrections): -51.998 eV per cell
energy above the lowest structure with this stoichiometry: 0.1087 eV/atom
SG: P-1 (2)
crystal system: triclinic
energy of formation from the pure elements: -0.013 eV/atom

Cell: 3.487 9.249 9.984 Å, 109.48 100.03 90.01°
Positions (direct):
Y 0.006 0.311 0.014
Y 0.994 0.689 0.986
Er 0.170 0.980 0.339
Er 0.188 0.353 0.375
Er 0.367 0.375 0.734
Er 0.633 0.625 0.266
Er 0.812 0.647 0.625
Er 0.830 0.020 0.661
Ni 0.247 0.788 0.495
Ni 0.753 0.212 0.505